No. 1
A relaxed NbGaSN2 crystal. Source: the Alexandria database, functional PBEsol.

abc: 3.9673 3.9673 5.1369
angles: 90.00 90.00 90.00
Sites, in units of the cell vectors:
Ga (0.5000, 0.5000, 0.5000)
N (0.5000, 0.0000, 0.0000)
N (0.0000, 0.5000, 0.0000)
S (0.0000, 0.0000, 0.5000)
Nb (0.0000, 0.0000, 0.0000)

## Properties
raw formation energy = 0.1493 eV/atom
space-group type = No. 123
M_tot = 0.00 μB per formula unit
volume = 16.2 A^3/atom


No. 2
A relaxed SrNiF6 crystal. Source: the Alexandria database, functional PBEsol.

abc: 4.6467 4.6467 4.6467
angles: 99.50 99.50 99.50
Sites, in units of the cell vectors:
F (0.2202, 0.2202, 0.5668)
F (0.2202, 0.5668, 0.2202)
F (0.5668, 0.2202, 0.2202)
F (0.7798, 0.4332, 0.7798)
F (0.7798, 0.7798, 0.4332)
F (0.4332, 0.7798, 0.7798)
Ni (0.5000, 0.5000, 0.5000)
Sr (0.0000, 0.0000, 0.0000)

## Properties
raw formation energy = -2.4468 eV/atom
space-group type = No. 166
M_tot = 0.00 μB per formula unit
volume = 12.0 A^3/atom


No. 3
A relaxed CaCr2SnH crystal. Source: the Alexandria database, functional PBEsol.

abc: 5.0912 5.0912 6.0047
angles: 90.00 90.00 90.00
Site moments in Bohr magnetons follow the coordinates.
Sites, in units of the cell vectors:
Ca (0.0000, 0.0000, 0.5000)  0.00
Cr (0.5000, 0.0000, 0.0000)  3.91
Cr (0.0000, 0.5000, 0.0000)  3.91
Sn (0.0000, 0.0000, 0.0000)  -0.16
H (0.5000, 0.5000, 0.5000)  0.03

## Properties
space-group type = No. 123
M_tot = 9.00 μB per formula unit
VASP energy = -4.793 eV per atom
volume = 31.1 A^3/atom


No. 4
A relaxed FeSb2Ir crystal. Source: the Alexandria database, functional PBEsol.

abc: 4.5964 4.5964 4.5964
angles: 60.00 60.00 60.00
Site moments in Bohr magnetons follow the coordinates.
Sites, in units of the cell vectors:
Sb (0.7500, 0.7500, 0.7500)  0.00
Sb (0.2500, 0.2500, 0.2500)  0.00
Ir (0.5000, 0.5000, 0.5000)  0.20
Fe (0.0000, 0.0000, 0.0000)  2.26

## Properties
raw formation energy = 0.2437 eV/atom
energy relative to the lowest polymorph listed for this composition = 34.8 kJ per mole of atoms
space-group type = No. 225
M_tot = 2.43 μB per formula unit
volume = 17.2 A^3/atom


No. 5
A relaxed Tl2OsRu crystal. Source: the Alexandria database, functional PBEsol.

abc: 3.0624 4.6649 5.3143
angles: 112.32 90.00 90.00
Sites, in units of the cell vectors:
Os (0.5000, 0.5000, 0.0000)
Tl (0.5000, 0.0000, 0.5000)
Tl (0.0000, 0.0000, 0.0000)
Ru (0.0000, 0.5000, 0.5000)

## Properties
formation energy from the elements = 0.9005 eV per atom
energy relative to the lowest polymorph listed for this composition = 22.3 kJ per mole of atoms
space-group type = No. 10
M_tot = 0.00 μB per formula unit
volume = 17.6 A^3/atom


No. 6
A relaxed MgSiPb crystal. Source: the Alexandria database, functional PBEsol.

abc: 4.8194 4.8194 4.8194
angles: 60.00 60.00 60.00
Sites, in units of the cell vectors:
Si (0.0000, 0.0000, 0.0000)
Pb (0.2500, 0.2500, 0.2500)
Mg (0.5000, 0.5000, 0.5000)

## Properties
raw formation energy = 0.4418 eV/atom
energy relative to the lowest polymorph listed for this composition = 18.4 kJ per mole of atoms
space-group type = No. 216
M_tot = 0.00 μB per formula unit
volume = 26.4 A^3/atom


No. 7
A relaxed CdCuTeN2 crystal. Source: the Alexandria database, functional PBEsol.

abc: 4.0899 4.0899 6.0895
angles: 90.00 90.00 90.00
Site moments in Bohr magnetons follow the coordinates.
Sites, in units of the cell vectors:
N (0.0000, 0.5000, 0.0000)  1.12
N (0.5000, 0.0000, 0.0000)  1.12
Te (0.0000, 0.0000, 0.5000)  0.17
Cd (0.0000, 0.0000, 0.0000)  0.07
Cu (0.5000, 0.5000, 0.5000)  0.04

## Properties
raw formation energy = 1.8111 eV/atom
space-group type = No. 123
M_tot = 3.58 μB per formula unit
volume = 20.4 A^3/atom


No. 8
A relaxed BiTeIr2Br crystal. Source: the Alexandria database, functional PBEsol.

abc: 5.0073 5.0073 5.4010
angles: 90.00 90.00 90.00
Sites, in units of the cell vectors:
Br (0.0000, 0.0000, 0.5000)
Te (0.5000, 0.5000, 0.5000)
Ir (0.0000, 0.5000, 0.0000)
Ir (0.5000, 0.0000, 0.0000)
Bi (0.0000, 0.0000, 0.0000)

## Properties
raw formation energy = 1.6666 eV/atom
space-group type = No. 123
M_tot = 0.00 μB per formula unit
volume = 27.1 A^3/atom


No. 9
A relaxed LaTi3Se crystal. Source: the Alexandria database, functional PBEsol.

abc: 4.7860 4.7860 4.7860
angles: 90.00 90.00 90.00
Site moments in Bohr magnetons follow the coordinates.
Sites, in units of the cell vectors:
La (0.5000, 0.5000, 0.5000)  0.02
Ti (0.0000, 0.0000, 0.5000)  0.07
Ti (0.0000, 0.5000, 0.0000)  0.07
Ti (0.5000, 0.0000, 0.0000)  0.07
Se (0.0000, 0.0000, 0.0000)  0.00

## Properties
raw formation energy = -0.0546 eV/atom
space-group type = No. 221
M_tot = 0.30 μB per formula unit
volume = 21.9 A^3/atom


No. 10
A relaxed Bi2HO crystal. Source: the Alexandria database, functional PBEsol.

abc: 5.3838 5.3838 6.5336
angles: 114.33 114.33 90.00
Sites, in units of the cell vectors:
H (0.7500, 0.2500, 0.5000)
H (0.5000, 0.5000, 0.0000)
O (0.2500, 0.7500, 0.5000)
O (0.0000, 0.0000, 0.0000)
Bi (0.8598, 0.3750, 0.2500)
Bi (0.6250, 0.6098, 0.7500)
Bi (0.1250, 0.1402, 0.7500)
Bi (0.3902, 0.8750, 0.2500)

## Properties
space-group type = No. 122
M_tot = 0.00 μB per formula unit
VASP energy = -4.305 eV per atom
volume = 19.2 A^3/atom


No. 11
A relaxed Ca2ScPt crystal. Source: the Alexandria database, functional PBEsol.

abc: 4.2872 4.2872 4.9558
angles: 90.00 90.00 90.00
Sites, in units of the cell vectors:
Ca (0.5000, 0.0000, 0.0000)
Ca (0.0000, 0.5000, 0.0000)
Sc (0.0000, 0.0000, 0.5000)
Pt (0.5000, 0.5000, 0.5000)

## Properties
formation energy from the elements = -0.2382 eV per atom
energy relative to the lowest polymorph listed for this composition = 5.3 kJ per mole of atoms
space-group type = No. 123
M_tot = 0.00 μB per formula unit
volume = 22.8 A^3/atom


No. 12
A relaxed YTiSi2 crystal. Source: the Alexandria database, functional PBEsol.

abc: 4.6633 4.6633 4.6633
angles: 60.00 60.00 60.00
Site moments in Bohr magnetons follow the coordinates.
Sites, in units of the cell vectors:
Ti (0.0000, 0.0000, 0.0000)  1.14
Y (0.5000, 0.5000, 0.5000)  0.18
Si (0.7500, 0.7500, 0.7500)  0.03
Si (0.2500, 0.2500, 0.2500)  0.03

## Properties
raw formation energy = -0.3021 eV/atom
space-group type = No. 225
M_tot = 1.89 μB per formula unit
volume = 17.9 A^3/atom